Entry 1:
Compound: LiTa2Au
Source: Alexandria via LeMat-Bulk
Functional: GGA-PBE
Structure: relaxed

Output
* D(E_F): 0.905 states/eV per atom
* DFT formation energy: 0.13 eV/atom

Lattice parameters (Å, degrees): 2.8654 2.8654 29.8532 90.00 90.00 120.00
Space group R3m (No. 160, hexagonal axes)
One atom of each set of equivalent atoms:
Li 0.0000 0.0000 0.0000 [3 per cell]
Ta 0.0000 0.0000 0.5087 [3 per cell]
Ta 0.0000 0.0000 0.7545 [3 per cell]
Au 0.0000 0.0000 0.2580 [3 per cell]

Entry 2:
Compound: LiTa2Au
Source: Alexandria via LeMat-Bulk
Functional: GGA-PBE
Structure: relaxed

Output
* D(E_F): 0.848 states/eV per atom
* DFT formation energy: 0.60 eV/atom

Lattice parameters (Å, degrees): 7.497 7.497 5.198 90.00 90.00 90.00
Space group I-42d (No. 122)
One atom of each set of equivalent atoms:
Li 0.000 0.000 0.000 [4 per cell]
Ta 0.239 0.250 0.625 [8 per cell]
Au 0.000 0.000 0.500 [4 per cell]

Entry 3:
Compound: LiTbAu4
Source: Alexandria via LeMat-Bulk
Functional: GGA-PBE
Structure: relaxed

Output
* D(E_F): 0.366 states/eV per atom
* DFT formation energy: -0.47 eV/atom

Lattice parameters (Å, degrees): 5.511 6.615 7.177 90.00 90.00 90.00
Space group Cmmm (No. 65)
One atom of each set of equivalent atoms:
Li 0.000 0.000 0.000 [2 per cell]
Tb 0.000 0.500 0.500 [2 per cell]
Au 0.250 0.250 0.215 [8 per cell]

Entry 4:
Compound: Li3TbAu4
Source: Alexandria via LeMat-Bulk
Functional: GGA-PBE
Structure: relaxed

Output
* D(E_F): 0.300 states/eV per atom
* DFT formation energy: -0.63 eV/atom

Lattice parameters (Å, degrees): 9.344 6.493 4.782 90.00 90.00 90.00
Space group Pmma (No. 51)
One atom of each set of equivalent atoms:
Li 0.000 0.000 0.000 [2 per cell]
Li 0.250 0.000 0.423 [2 per cell]
Li 0.250 0.500 0.474 [2 per cell]
Tb 0.000 0.500 0.000 [2 per cell]
Au 0.000 0.226 0.500 [4 per cell]
Au 0.250 0.222 0.921 [4 per cell]

Entry 5:
Compound: Li2Tb2Au3
Source: Alexandria via LeMat-Bulk
Functional: GGA-PBE
Structure: relaxed

Output
* D(E_F): 0.406 states/eV per atom
* DFT formation energy: -0.62 eV/atom

Lattice parameters (Å, degrees): 3.598 23.348 3.467 90.00 90.00 90.00
Space group Cmmm (No. 65)
One atom of each set of equivalent atoms:
Li 0.000 0.211 0.000 [4 per cell]
Tb 0.000 0.080 0.000 [4 per cell]
Au 0.000 0.343 0.500 [4 per cell]
Au 0.000 0.500 0.500 [2 per cell]

Entry 6:
Compound: LiTb2Au2
Source: Alexandria via LeMat-Bulk
Functional: GGA-PBE
Structure: relaxed

Output
* D(E_F): 0.712 states/eV per atom
* DFT formation energy: -0.68 eV/atom

Lattice parameters (Å, degrees): 8.013 8.013 3.747 90.00 90.00 90.00
Space group P4/mbm (No. 127)
One atom of each set of equivalent atoms:
Li 0.000 0.000 0.000 [2 per cell]
Tb 0.161 0.339 0.500 [4 per cell]
Au 0.137 0.637 0.000 [4 per cell]

Entry 7:
Compound: LiTbAu2
Source: Alexandria via LeMat-Bulk
Functional: GGA-PBE
Structure: relaxed

Output
* D(E_F): 0.504 states/eV per atom
* DFT formation energy: -0.69 eV/atom

Lattice parameters (Å, degrees): 3.543 3.543 6.394 90.00 90.00 90.00
Space group P4/mmm (No. 123)
One atom of each set of equivalent atoms:
Li 0.000 0.000 0.000 [1 per cell]
Tb 0.000 0.000 0.500 [1 per cell]
Au 0.500 0.500 0.225 [2 per cell]

Entry 8:
Compound: Li2TbAu
Source: Alexandria via LeMat-Bulk
Functional: GGA-PBE
Structure: relaxed

Output
* D(E_F): 0.725 states/eV per atom
* DFT formation energy: 0.00 eV/atom

Lattice parameters (Å, degrees): 3.1607 3.1607 30.6717 90.00 90.00 120.00
Space group R-3m (No. 166, hexagonal axes)
One atom of each set of equivalent atoms:
Li 0.0000 0.0000 0.1014 [6 per cell]
Tb 0.0000 0.0000 0.0000 [3 per cell]
Au 0.0000 0.0000 0.5000 [3 per cell]

Entry 9:
Compound: Li4TbAu
Source: Alexandria via LeMat-Bulk
Functional: GGA-PBE
Structure: relaxed

Output
* D(E_F): 0.792 states/eV per atom
* DFT formation energy: -0.15 eV/atom

Lattice parameters (Å, degrees): 7.482 7.482 7.482 90.00 90.00 90.00
Space group F-43m (No. 216)
One atom of each set of equivalent atoms:
Li 0.122 0.122 0.378 [16 per cell]
Tb 0.000 0.000 0.000 [4 per cell]
Au 0.250 0.250 0.750 [4 per cell]

Entry 10:
Compound: Li8TbAu6
Source: Alexandria via LeMat-Bulk
Functional: GGA-PBE
Structure: relaxed

Output
* D(E_F): 0.343 states/eV per atom
* DFT formation energy: -0.46 eV/atom

Lattice parameters (Å, degrees): 8.1858 8.1858 15.3644 90.00 90.00 120.00
Space group R-3 (No. 148, hexagonal axes)
One atom of each set of equivalent atoms:
Li 0.0000 0.0000 0.1312 [6 per cell]
Li 0.0158 0.2582 0.7036 [18 per cell]
Tb 0.0000 0.0000 0.5000 [3 per cell]
Au 0.0007 0.3124 0.2066 [18 per cell]

Entry 11:
Compound: Li2TbAu3
Source: Alexandria via LeMat-Bulk
Functional: GGA-PBE
Structure: relaxed

Output
* D(E_F): 0.420 states/eV per atom
* DFT formation energy: -0.66 eV/atom

Lattice parameters (Å, degrees): 4.5487 4.5487 12.6561 90.00 90.00 120.00
Space group P-3m1 (No. 164)
One atom of each set of equivalent atoms:
Li 0.0000 0.0000 0.0000 [1 per cell]
Li 0.0000 0.0000 0.5000 [1 per cell]
Li 0.3333 0.6667 0.1402 [2 per cell]
Tb 0.3333 0.6667 0.6811 [2 per cell]
Au 0.0000 0.0000 0.2051 [2 per cell]
Au 0.3333 0.6667 0.4407 [2 per cell]
Au 0.3333 0.6667 0.9235 [2 per cell]

Entry 12:
Compound: Li3TbAu3
Source: Alexandria via LeMat-Bulk
Functional: GGA-PBE
Structure: relaxed

Output
* D(E_F): 0.281 states/eV per atom
* DFT formation energy: -0.11 eV/atom

Lattice parameters (Å, degrees): 6.691 6.691 6.691 90.00 90.00 90.00
Space group Pm-3n (No. 223)
One atom of each set of equivalent atoms:
Li 0.000 0.250 0.500 [6 per cell]
Tb 0.000 0.000 0.000 [2 per cell]
Au 0.000 0.500 0.250 [6 per cell]

Entry 13:
Compound: LiTb2Au6
Source: Alexandria via LeMat-Bulk
Functional: GGA-PBE
Structure: relaxed

Output
* D(E_F): 0.495 states/eV per atom
* DFT formation energy: -0.64 eV/atom

Lattice parameters (Å, degrees): 5.209 15.678 5.196 90.00 119.82 90.00
Space group C2/m (No. 12)
One atom of each set of equivalent atoms:
Li 0.000 0.000 0.000 [2 per cell]
Tb 0.000 0.337 0.500 [4 per cell]
Au 0.158 0.500 0.322 [4 per cell]
Au 0.162 0.164 0.832 [8 per cell]

Entry 14:
Compound: LiTb2Au4
Source: Alexandria via LeMat-Bulk
Functional: GGA-PBE
Structure: relaxed

Output
* D(E_F): 0.462 states/eV per atom
* DFT formation energy: -0.68 eV/atom

Lattice parameters (Å, degrees): 5.897 5.918 8.784 90.00 104.37 90.00
Space group P2_1/m (No. 11)
One atom of each set of equivalent atoms:
Li 0.084 0.250 0.298 [2 per cell]
Tb 0.117 0.250 0.913 [2 per cell]
Tb 0.306 0.750 0.519 [2 per cell]
Au 0.215 0.250 0.597 [2 per cell]
Au 0.293 0.750 0.912 [2 per cell]
Au 0.374 0.510 0.211 [4 per cell]

Entry 15:
Compound: LiTbAu
Source: Alexandria via LeMat-Bulk
Functional: GGA-PBE
Structure: relaxed

Output
* D(E_F): 0.563 states/eV per atom
* DFT formation energy: -0.43 eV/atom

Lattice parameters (Å, degrees): 3.486 4.909 16.434 90.00 90.00 90.00
Space group Immm (No. 71)
One atom of each set of equivalent atoms:
Li 0.000 0.248 0.000 [4 per cell]
Tb 0.000 0.000 0.327 [4 per cell]
Au 0.000 0.000 0.146 [4 per cell]

Entry 16:
Compound: LiTb2Au6
Source: Alexandria via LeMat-Bulk
Functional: GGA-PBE
Structure: relaxed

Output
* D(E_F): 0.413 states/eV per atom
* DFT formation energy: -0.61 eV/atom

Lattice parameters (Å, degrees): 6.2313 6.2313 5.3772 90.00 90.00 120.00
Space group P-3m1 (No. 164)
One atom of each set of equivalent atoms:
Li 0.0000 0.0000 0.0000 [1 per cell]
Tb 0.3333 0.6667 0.1844 [2 per cell]
Au 0.1777 0.3555 0.7016 [6 per cell]

Entry 17:
Compound: LiTbAu
Source: Alexandria via LeMat-Bulk
Functional: GGA-PBE
Structure: relaxed

Output
* D(E_F): 0.711 states/eV per atom
* DFT formation energy: -0.44 eV/atom

Lattice parameters (Å, degrees): 6.712 6.712 6.712 90.00 90.00 90.00
Space group F-43m (No. 216)
One atom of each set of equivalent atoms:
Li 0.000 0.000 0.000 [4 per cell]
Tb 0.000 0.000 0.500 [4 per cell]
Au 0.250 0.250 0.250 [4 per cell]

Entry 18:
Compound: Li5TbAu6
Source: Alexandria via LeMat-Bulk
Functional: GGA-PBE
Structure: relaxed

Output
* D(E_F): 0.318 states/eV per atom
* DFT formation energy: -0.59 eV/atom

Lattice parameters (Å, degrees): 4.630 6.520 7.273 90.00 108.46 90.00
Space group P2/m (No. 10)
One atom of each set of equivalent atoms:
Li 0.000 0.000 0.000 [1 per cell]
Li 0.326 0.500 0.651 [2 per cell]
Li 0.337 0.000 0.675 [2 per cell]
Tb 0.000 0.500 0.000 [1 per cell]
Au 0.173 0.234 0.346 [4 per cell]
Au 0.500 0.226 0.000 [2 per cell]

Entry 19:
Compound: LiTbAu
Source: Alexandria via LeMat-Bulk
Functional: GGA-PBE
Structure: relaxed

Output
* D(E_F): 0.685 states/eV per atom
* DFT formation energy: -0.61 eV/atom

Lattice parameters (Å, degrees): 7.4298 7.4298 4.0936 90.00 90.00 120.00
Space group P-62m (No. 189)
One atom of each set of equivalent atoms:
Li 0.0000 0.7624 0.0000 [3 per cell]
Tb 0.0000 0.4106 0.5000 [3 per cell]
Au 0.0000 0.0000 0.5000 [1 per cell]
Au 0.3333 0.6667 0.0000 [2 per cell]

Entry 20:
Compound: Li2TbAu2
Source: Alexandria via LeMat-Bulk
Functional: GGA-PBE
Structure: relaxed

Output
* D(E_F): 0.408 states/eV per atom
* DFT formation energy: -0.61 eV/atom

Lattice parameters (Å, degrees): 3.848 3.848 13.357 90.00 90.00 90.00
Space group I4/mmm (No. 139)
One atom of each set of equivalent atoms:
Li 0.000 0.500 0.250 [4 per cell]
Tb 0.000 0.000 0.000 [2 per cell]
Au 0.000 0.000 0.392 [4 per cell]

Entry 21:
Compound: LiTb2Au4
Source: Alexandria via LeMat-Bulk
Functional: GGA-PBE
Structure: relaxed

Output
* D(E_F): 0.501 states/eV per atom
* DFT formation energy: -0.68 eV/atom

Lattice parameters (Å, degrees): 9.342 4.561 7.861 90.00 110.99 90.00
Space group C2/m (No. 12)
One atom of each set of equivalent atoms:
Li 0.000 0.000 0.000 [2 per cell]
Tb 0.212 0.500 0.281 [4 per cell]
Au 0.048 0.000 0.347 [4 per cell]
Au 0.148 0.500 0.878 [4 per cell]

Entry 22:
Compound: Li2TbAu2
Source: Alexandria via LeMat-Bulk
Functional: GGA-PBE
Structure: relaxed

Output
* D(E_F): 0.396 states/eV per atom
* DFT formation energy: -0.61 eV/atom

Lattice parameters (Å, degrees): 7.650 7.652 7.713 90.00 119.64 90.00
Space group C2/m (No. 12)
One atom of each set of equivalent atoms:
Li 0.000 0.200 0.000 [4 per cell]
Li 0.199 0.500 0.998 [4 per cell]
Tb 0.249 0.500 0.500 [4 per cell]
Au 0.108 0.248 0.717 [8 per cell]

Entry 23:
Compound: LiTbAu4
Source: Alexandria via LeMat-Bulk
Functional: GGA-PBE
Structure: relaxed

Output
* D(E_F): 0.451 states/eV per atom
* DFT formation energy: -0.58 eV/atom

Lattice parameters (Å, degrees): 5.184 8.914 5.125 90.00 90.00 90.00
Space group Cmmm (No. 65)
One atom of each set of equivalent atoms:
Li 0.000 0.000 0.000 [2 per cell]
Tb 0.000 0.500 0.500 [2 per cell]
Au 0.000 0.162 0.500 [4 per cell]
Au 0.000 0.329 0.000 [4 per cell]